1.
Crystalline CaLaRu2 at its relaxed geometry, computed with GGA-PBEsol.

Lattice parameters (Å, degrees): 4.000 4.000 9.717 90.00 90.00 90.00
Space group I-4m2 (No. 119)
Unique sites:
Ca1 0.000 0.000 0.000 [2 per cell]
La1 0.000 0.500 0.250 [2 per cell]
Ru1 0.000 0.000 0.500 [2 per cell]
Ru2 0.000 0.500 0.750 [2 per cell]

Properties
**DFT total energy**: -6.559 eV per atom
**DOS(E_F)**: 9.47 states/eV per cell
**Spin magnetization**: 0.00 μB/cell

=====

2.
Crystalline CaLa2Ru2 at its relaxed geometry, computed with GGA-PBEsol.

Lattice parameters (Å, degrees): 3.988 3.988 18.570 90.00 90.00 90.00
Space group I4/mmm (No. 139)
Unique sites:
Ca1 0.000 0.000 0.000 [2 per cell]
La1 0.000 0.000 0.346 [4 per cell]
Ru1 0.000 0.500 0.250 [4 per cell]

Properties
**DFT total energy**: -6.416 eV per atom
**DOS(E_F)**: 9.37 states/eV per cell
**Spin magnetization**: 0.00 μB/cell